# Fe2HPd

Fe2HPd after structural relaxation (PBE, Alexandria).

a b c (Å): 5.4703 5.4703 4.7105
angles (deg): 54.50 54.50 90.00
Last column: nearest neighbours and their distance in Å.
Atoms (fractional coordinates):
H1 0.5000 0.5000 0.0000  4 Fe 1.66
H2 0.2500 0.7500 0.5000  4 Fe 1.66
Fe1 0.4973 0.1250 0.2500  2 H 1.66
Fe2 0.2527 0.6250 0.2500  2 H 1.66
Fe3 0.3750 0.5027 0.7500  2 H 1.66
Fe4 0.8750 0.7473 0.7500  2 H 1.66
Pd1 0.0000 0.0000 0.0000  8 Fe 2.53-2.57, 2 H 2.69
Pd2 0.7500 0.2500 0.5000  8 Fe 2.53-2.57, 2 H 2.69

## Properties
Its energy above the lowest structure with this stoichiometry is 418.8 meV per atom.

---

# Sr2ZnCl

Sr2ZnCl after structural relaxation (PBE, Alexandria).

a b c (Å): 4.2681 4.2681 8.7827
angles (deg): 75.94 75.94 60.00
Last column: nearest neighbours and their distance in Å.
Atoms (fractional coordinates):
Sr1 0.0799 0.0799 0.7604  3 Zn 3.17, 3 Cl 3.25
Sr2 0.2551 0.2551 0.2347  3 Zn 3.18, 3 Cl 3.37
Zn1 0.6677 0.6677 0.9968  6 Sr 3.17-3.18
Cl1 0.4973 0.4973 0.5081  6 Sr 3.25-3.37

## Properties
The uncorrected formation energy is -0.883 eV per atom. Its energy above the lowest structure with this stoichiometry is 37.8 meV per atom.

---

# Ac2RhO6

Ac2RhO6 after structural relaxation (PBE, Alexandria).

a b c (Å): 5.5951 6.5396 7.8383
angles (deg): 90.00 94.40 90.00
Last column: nearest neighbours and their distance in Å.
Atoms (fractional coordinates):
Ac1 0.9661 0.4027 0.7463  8 O 2.51-2.79
Ac2 0.5339 0.9027 0.7537  8 O 2.51-2.79
Ac3 0.4661 0.0973 0.2463  8 O 2.51-2.79
Ac4 0.0339 0.5973 0.2537  8 O 2.51-2.79
Rh1 0.5000 0.5000 0.0000  6 O 1.95-1.98
Rh2 0.0000 0.0000 0.5000  6 O 1.95-1.98
O1 0.8870 0.9590 0.2609  1 Rh 1.95
O2 0.8628 0.7331 0.5588  1 Rh 1.98
O3 0.7980 0.6465 0.9545  1 Rh 1.98
O4 0.7020 0.1465 0.5455  1 Rh 1.98
O5 0.6372 0.2331 0.9412  1 Rh 1.98
O6 0.6130 0.4590 0.2391  1 Rh 1.95
O7 0.1130 0.0410 0.7391  1 Rh 1.95
O8 0.1372 0.2669 0.4412  1 Rh 1.98
O9 0.2020 0.3535 0.0455  1 Rh 1.98
O10 0.2980 0.8535 0.4545  1 Rh 1.98
O11 0.3628 0.7669 0.0588  1 Rh 1.98
O12 0.3870 0.5410 0.7609  1 Rh 1.95

## Properties
The uncorrected formation energy is -2.133 eV per atom. Its energy above the lowest structure with this stoichiometry is 0.0 meV per atom.

---

# Pm2SiAs

Pm2SiAs after structural relaxation (PBE, Alexandria).

a b c (Å): 4.1530 4.1530 7.5558
angles (deg): 74.05 74.05 60.00
Last column: nearest neighbours and their distance in Å.
Atoms (fractional coordinates):
As1 0.5000 0.5000 0.5000  6 Pm 2.97
Si1 0.0000 0.0000 0.0000  6 Pm 3.02
Pm1 0.7519 0.7519 0.7442  3 As 2.97, 3 Si 3.02
Pm2 0.2481 0.2481 0.2558  3 As 2.97, 3 Si 3.02

## Properties
The uncorrected formation energy is -0.980 eV per atom. Its energy above the lowest structure with this stoichiometry is 148.5 meV per atom.

---

# SrHf2Sc2

SrHf2Sc2 after structural relaxation (PBE, Alexandria).

a b c (Å): 8.9843 8.9843 3.3685
angles (deg): 90.00 90.00 90.00
Last column: nearest neighbours and their distance in Å.
Atoms (fractional coordinates):
Sc1 0.1712 0.6712 0.5000  6 Hf 3.12-3.20, 2 Sc 3.37
Sc2 0.6712 0.8288 0.5000  6 Hf 3.12-3.20, 2 Sc 3.37
Sc3 0.8288 0.3288 0.5000  6 Hf 3.12-3.20, 2 Sc 3.37
Sc4 0.3288 0.1712 0.5000  6 Hf 3.12-3.20, 2 Sc 3.37
Sr1 0.0000 0.0000 0.0000  2 Sr 3.37, 4 Hf 3.61, 8 Sc 3.73
Sr2 0.5000 0.5000 0.0000  2 Sr 3.37, 4 Hf 3.61, 8 Sc 3.73
Hf1 0.3850 0.8850 0.0000  1 Hf 2.92, 6 Sc 3.12-3.20
Hf2 0.8850 0.6150 0.0000  1 Hf 2.92, 6 Sc 3.12-3.20
Hf3 0.6150 0.1150 0.0000  1 Hf 2.92, 6 Sc 3.12-3.20
Hf4 0.1150 0.3850 0.0000  1 Hf 2.92, 6 Sc 3.12-3.20

## Properties
The calculated formation energy is 0.236 eV/atom. Its energy above the lowest structure with this stoichiometry is 0.0 meV per atom.

---

# SrSc3Ru

SrSc3Ru after structural relaxation (PBE, Alexandria).

a b c (Å): 4.8810 4.8810 4.8810
angles (deg): 90.00 90.00 90.00
Last column: nearest neighbours and their distance in Å.
Atoms (fractional coordinates):
Sc1 0.0000 0.5000 0.0000  2 Sr 2.44
Sc2 0.0000 0.0000 0.5000  2 Sr 2.44
Sc3 0.5000 0.0000 0.0000  2 Sr 2.44
Ru1 0.5000 0.5000 0.5000  12 Sc 3.45
Sr1 0.0000 0.0000 0.0000  6 Sc 2.44

## Properties
The calculated formation energy is 1.764 eV/atom. Its energy above the lowest structure with this stoichiometry is 1905.7 meV per atom.

---

# CeNd4Mg5

CeNd4Mg5 after structural relaxation (PBE, Alexandria).

a b c (Å): 3.8643 3.8643 19.5138
angles (deg): 90.00 90.00 90.00
Last column: nearest neighbours and their distance in Å.
Atoms (fractional coordinates):
Ce1 0.0000 0.0000 0.0000  8 Mg 3.35
Nd1 0.0000 0.0000 0.1989  8 Mg 3.36-3.37
Nd2 0.0000 0.0000 0.3998  8 Mg 3.36
Nd3 0.0000 0.0000 0.6002  8 Mg 3.36
Nd4 0.0000 0.0000 0.8011  8 Mg 3.36-3.37
Mg1 0.5000 0.5000 0.0989  4 Ce 3.35, 4 Nd 3.36
Mg2 0.5000 0.5000 0.2996  8 Nd 3.36-3.37
Mg3 0.5000 0.5000 0.5000  8 Nd 3.36
Mg4 0.5000 0.5000 0.7004  8 Nd 3.36-3.37
Mg5 0.5000 0.5000 0.9011  4 Ce 3.35, 4 Nd 3.36

## Properties
The calculated formation energy is -0.070 eV/atom.

---

# ZrCdCoRh

ZrCdCoRh after structural relaxation (PBE, Alexandria).

a b c (Å): 4.5164 4.5164 4.5164
angles (deg): 60.00 60.00 60.00
Last column: nearest neighbours and their distance in Å.
Atoms (fractional coordinates):
Co1 0.5000 0.5000 0.5000  4 Cd 2.77, 4 Zr 2.77
Rh1 0.0000 0.0000 0.0000  4 Zr 2.77, 4 Cd 2.77
Zr1 0.2500 0.2500 0.2500  4 Co 2.77, 4 Rh 2.77
Cd1 0.7500 0.7500 0.7500  4 Co 2.77, 4 Rh 2.77

## Properties
The calculated formation energy is -0.328 eV/atom.

---

# SrPmAu2

SrPmAu2 after structural relaxation (PBE, Alexandria).

a b c (Å): 3.7736 3.7736 7.5631
angles (deg): 90.00 90.00 90.00
Last column: nearest neighbours and their distance in Å.
Atoms (fractional coordinates):
Sr1 0.5000 0.5000 0.5000  8 Au 3.42, 4 Sr 3.77, 2 Pm 3.78
Au1 0.0000 0.0000 0.7828  4 Pm 3.13, 1 Au 3.28, 4 Sr 3.42
Au2 0.0000 0.0000 0.2172  4 Pm 3.13, 1 Au 3.28, 4 Sr 3.42
Pm1 0.5000 0.5000 0.0000  8 Au 3.13

## Properties
The calculated formation energy is -0.773 eV/atom. Its energy above the lowest structure with this stoichiometry is 0.0 meV per atom.

---

# La3NiRh

La3NiRh after structural relaxation (PBE, Alexandria).

a b c (Å): 4.0700 6.9737 10.7805
angles (deg): 100.26 90.03 106.96
Last column: nearest neighbours and their distance in Å.
Atoms (fractional coordinates):
La1 0.6633 0.8963 0.2899  2 Rh 2.86, 2 Ni 2.98
La2 0.9061 0.3811 0.1157  1 Rh 2.88, 4 Ni 2.89-3.15
La3 0.6450 0.8582 0.9433  1 Rh 2.88, 4 Ni 2.89-3.15
La4 0.1442 0.8561 0.6268  3 Rh 2.85-2.95
La5 0.8878 0.3429 0.7692  2 Rh 2.86, 2 Ni 2.98
La6 0.4069 0.3832 0.4323  3 Rh 2.85-2.95
Ni1 0.2577 0.0851 0.1451  1 Ni 2.62, 2 La 2.89
Ni2 0.2934 0.1542 0.9140  1 Ni 2.62, 2 La 2.89-2.90
Rh1 0.5159 0.5996 0.6975  6 La 2.85-2.95
Rh2 0.0351 0.6397 0.3616  6 La 2.85-2.95

## Properties
The calculated formation energy is -0.442 eV/atom. Its energy above the lowest structure with this stoichiometry is 0.0 meV per atom.

---

# Nd2Ho2Ga3

Nd2Ho2Ga3 after structural relaxation (PBE, Alexandria).

a b c (Å): 3.7168 8.2166 5.9824
angles (deg): 92.00 72.25 90.01
Last column: nearest neighbours and their distance in Å.
Atoms (fractional coordinates):
Nd1 0.7063 0.8347 0.5889  5 Ga 3.10-3.35, 3 Ho 3.25-3.44
Nd2 0.2937 0.1653 0.4111  5 Ga 3.10-3.35, 3 Ho 3.25-3.44
Ho1 0.5621 0.3048 0.8840  4 Ga 2.98-3.22, 1 Nd 3.25
Ho2 0.4379 0.6952 0.1160  4 Ga 2.98-3.22, 1 Nd 3.25
Ga1 0.0000 0.0000 0.0000  4 Ho 3.20-3.22, 4 Nd 3.24-3.26
Ga2 0.8312 0.4605 0.3356  2 Ga 2.70, 2 Ho 2.98-2.99
Ga3 0.1688 0.5395 0.6644  2 Ga 2.70, 2 Ho 2.98-2.99

## Properties
The calculated formation energy is -0.422 eV/atom.

---

# HfBi6O12

HfBi6O12 after structural relaxation (PBE, Alexandria).

a b c (Å): 6.7465 6.7465 6.7465
angles (deg): 99.21 99.21 99.21
Last column: nearest neighbours and their distance in Å.
Atoms (fractional coordinates):
Hf1 0.0000 0.0000 0.0000  6 O 2.10
Bi1 0.1340 0.2937 0.5913  4 O 2.25-2.44
Bi2 0.7063 0.4087 0.8660  4 O 2.25-2.44
Bi3 0.4087 0.8660 0.7063  4 O 2.25-2.44
Bi4 0.8660 0.7063 0.4087  4 O 2.25-2.44
Bi5 0.2937 0.5913 0.1340  4 O 2.25-2.44
Bi6 0.5913 0.1340 0.2937  4 O 2.25-2.44
O1 0.4266 0.1768 0.5619  3 Bi 2.27-2.44
O2 0.1768 0.5619 0.4266  3 Bi 2.27-2.44
O3 0.5619 0.4266 0.1768  3 Bi 2.27-2.44
O4 0.5734 0.8232 0.4381  3 Bi 2.27-2.44
O5 0.8232 0.4381 0.5734  3 Bi 2.27-2.44
O6 0.4381 0.5734 0.8232  3 Bi 2.27-2.44
O7 0.0371 0.9235 0.6955  1 Hf 2.10, 1 Bi 2.25
O8 0.3045 0.9629 0.0765  1 Hf 2.10, 1 Bi 2.25
O9 0.0765 0.3045 0.9629  1 Hf 2.10, 1 Bi 2.25
O10 0.9629 0.0765 0.3045  1 Hf 2.10, 1 Bi 2.25
O11 0.6955 0.0371 0.9235  1 Hf 2.10, 1 Bi 2.25
O12 0.9235 0.6955 0.0371  1 Hf 2.10, 1 Bi 2.25

## Properties
The uncorrected formation energy is -1.484 eV per atom.

---

The records above give, respectively, V values of 10.055; 33.248; 15.886; 26.756; 27.190; 23.257; 29.139; 16.285; 26.925; 28.756; 24.840; 15.458 Å³ per atom.
The records above give, respectively, magnetization values of 0.00; 0.38; 2.95; 0.00; 0.00; 0.00; 0.96; 0.00; 0.00; 0.00; 0.00; 0.00 μB per formula unit.